Entry 1:
Compound: CePr2ZrN4
Source: Alexandria via LeMat-Bulk
Functional: GGA-PBE
Structure: optimized geometry

a b c (Å): 6.1013 3.5158 6.1685
angles (deg): 90.00 108.91 90.00
Closest atoms and distances in Å follow each position.
Space group P2/m (No. 10)
Symmetry-distinct sites (fractional):
Ce  0.0000  0.0000  0.0000  6 N 2.44-2.45
Pr  0.0000  0.5000  0.5000  6 N 2.65-2.67
Pr  0.5000  0.0000  0.5000  6 N 2.56-2.57
Zr  0.5000  0.5000  0.0000  6 N 2.32-2.37
N  0.2554  0.5000  0.2208  1 Zr 2.32, 2 Ce 2.45, 2 Pr 2.57
N  0.2711  0.0000  0.7831  2 Zr 2.37, 1 Ce 2.44, 3 Pr 2.56-2.65

Properties
E_form (uncorrected): -1.46 eV/atom
crystal system: monoclinic
spin magnetization: 0.00 μB/f.u.

---

Entry 2:
Compound: Rb2YAlSe
Source: Alexandria via LeMat-Bulk
Functional: GGA-PBE
Structure: optimized geometry

a b c (Å): 6.5479 6.5479 5.1708
angles (deg): 90.00 90.00 90.00
Closest atoms and distances in Å follow each position.
Space group P4/mmm (No. 123)
Symmetry-distinct sites (fractional):
Rb  0.0000  0.5000  0.0000  2 Se 3.27
Y  0.0000  0.0000  0.5000  8 Rb 4.17, 4 Al 4.63
Al  0.5000  0.5000  0.5000  2 Se 2.59
Se  0.5000  0.5000  0.0000  2 Al 2.59

Properties
energy above the most stable polymorph in this dataset: 0.000 eV/atom
E_form (uncorrected): 0.34 eV/atom
crystal system: tetragonal
spin magnetization: 2.02 μB/f.u.

---

Entry 3:
Compound: MnIn2Se
Source: Alexandria via LeMat-Bulk
Functional: GGA-PBE
Structure: optimized geometry

a b c (Å): 6.2889 7.8183 3.6422
angles (deg): 90.00 90.00 90.00
Closest atoms and distances in Å follow each position.
Space group Cmmm (No. 65)
Symmetry-distinct sites (fractional):
Mn  0.0000  0.0000  0.0000  8 In 3.10, 2 Se 3.14
In  0.2500  0.2500  0.5000  4 Se 3.10, 4 Mn 3.10, 2 In 3.14
Se  0.0000  0.5000  0.0000  8 In 3.10, 2 Mn 3.14

Properties
E_form (uncorrected): 0.15 eV/atom
crystal system: orthorhombic
spin magnetization: 4.16 μB/f.u.

---

Entry 4:
Compound: NdSm2Y6Ho3
Source: Alexandria via LeMat-Bulk
Functional: GGA-PBE
Structure: optimized geometry

a b c (Å): 6.2035 10.7354 11.8369
angles (deg): 90.00 100.01 90.00
Closest atoms and distances in Å follow each position.
Space group C2/m (No. 12)
Symmetry-distinct sites (fractional):
Nd  0.0000  0.0000  0.0000  6 Sm 3.58, 6 Y 3.60
Sm  0.0000  0.3335  0.0000  3 Sm 3.58, 3 Nd 3.58, 6 Y 3.60
Y  0.2489  0.0000  0.7470  3 Ho 3.54, 6 Y 3.58, 1 Nd 3.60, 2 Sm 3.60
Y  0.2485  0.3332  0.7471  3 Ho 3.54-3.55, 6 Y 3.58, 2 Sm 3.60, 1 Nd 3.60
Ho  0.0000  0.1667  0.5000  6 Y 3.54-3.55, 6 Ho 3.58
Ho  0.0000  0.5000  0.5000  6 Y 3.54-3.55, 6 Ho 3.58

Properties
formation enthalpy at 0 K: 0.0193 eV per atom
crystal system: monoclinic
spin magnetization: 0.00 μB/f.u.